(1)
Li3CdAg12 GGA-PBE optimized geometry; DFT total energy = -42.53 eV/f.u.; spin magnetization = 0.000 μB/f.u.; Fermi-level density of states = 5.01 states/eV/f.u.; formation energy from the elements = -0.1035 eV per atom
1.0
4.1058 0.0000 0.0000
0.0000 4.1058 0.0000
0.0000 0.0000 16.5737
Li Ag Cd
3 12 1
Direct
0.0000 0.0000 0.2552
0.0000 0.0000 0.7448
0.0000 0.0000 0.5000
0.5000 0.5000 0.2552
0.5000 0.5000 0.5000
0.0000 0.5000 0.8679
0.5000 0.0000 0.1321
0.0000 0.5000 0.3776
0.5000 0.5000 0.7448
0.5000 0.0000 0.6224
0.5000 0.5000 0.0000
0.0000 0.5000 0.1321
0.5000 0.0000 0.3776
0.0000 0.5000 0.6224
0.5000 0.0000 0.8679
0.0000 0.0000 0.0000

***

(2)
SrGdCuAg GGA-PBE optimized geometry; DFT total energy = -23.14 eV/f.u.; spin magnetization = 7.279 μB/f.u.; Fermi-level density of states = 4.43 states/eV/f.u.; formation energy from the elements = -0.1080 eV per atom
1.0
-3.4128 3.3874 -2.1116
-3.5041 -1.6657 -3.5395
-5.0895 -0.2663 1.2677
Ag Gd Cu Sr
1 1 1 1
Direct
0.2500 0.2500 0.2500
0.0000 0.0000 0.0000
0.7500 0.7500 0.7500
0.5000 0.5000 0.5000

***

(3)
TbDyErPu GGA-PBE optimized geometry; DFT total energy = -27.36 eV/f.u.; spin magnetization = 7.295 μB/f.u.; Fermi-level density of states = 10.45 states/eV/f.u.; formation energy from the elements = 0.1927 eV per atom
1.0
-4.8861 -2.6664 0.0818
-1.8627 -2.5386 -4.5908
-0.1413 -5.5597 -0.2435
Pu Dy Er Tb
1 1 1 1
Direct
0.7500 0.7500 0.7500
0.0000 0.0000 0.0000
0.2500 0.2500 0.2500
0.5000 0.5000 0.5000

***

(4)
KMnRe2 GGA-PBE optimized geometry; DFT total energy = -31.65 eV/f.u.; spin magnetization = 0.000 μB/f.u.; polymorph energy (0 for the lowest one) = 115.0 meV/atom; Fermi-level density of states = 3.08 states/eV/f.u.; formation energy from the elements = 0.8793 eV per atom
1.0
-0.9248 0.4715 2.4296
1.1338 -3.2341 1.0592
7.4162 3.3139 2.1798
Re K Mn
2 1 1
Direct
0.0000 0.0000 0.8992
0.0000 0.0000 0.6008
0.5000 0.5000 0.2500
0.5000 0.5000 0.7500

***

(5)
Ce2ThSnC GGA-PBE optimized geometry; DFT total energy = -34.80 eV/f.u.; spin magnetization = 1.339 μB/f.u.; Fermi-level density of states = 8.56 states/eV/f.u.; formation energy from the elements = -0.4572 eV per atom
1.0
5.0457 0.0000 0.0000
0.0000 4.9847 0.0000
0.0000 0.0000 4.9847
Ce C Th Sn
2 1 1 1
Direct
0.0000 0.0000 0.5000
0.0000 0.5000 0.0000
0.0000 0.0000 0.0000
0.5000 0.0000 0.0000
0.5000 0.5000 0.5000

***

(6)
CsAcCl4 GGA-PBE optimized geometry; DFT total energy = -26.34 eV/f.u.; spin magnetization = 0.000 μB/f.u.; polymorph energy (0 for the lowest one) = 0.0 meV/atom; Fermi-level density of states = 0.00 states/eV/f.u.; formation energy (no corrections) = -2332 meV per atom
1.0
-4.4850 1.0155 0.6155
-0.8595 -6.5722 4.5810
4.7952 11.0363 16.7331
Cs Cl Ac
4 16 4
Direct
0.2500 0.7198 0.2965
0.7500 0.2802 0.7035
0.2500 0.2198 0.2035
0.7500 0.7802 0.7965
0.2500 0.5986 0.6877
0.7500 0.4950 0.5587
0.2500 0.1020 0.3698
0.2500 0.6020 0.1302
0.7500 0.9950 0.9413
0.7500 0.8980 0.6302
0.2500 0.1386 0.5372
0.2500 0.6386 0.9628
0.7500 0.4014 0.3123
0.2500 0.0986 0.8123
0.7500 0.3980 0.8698
0.2500 0.0050 0.0587
0.2500 0.5050 0.4413
0.7500 0.3614 0.0372
0.7500 0.9014 0.1877
0.7500 0.8614 0.4628
0.2500 0.2513 0.9431
0.7500 0.7487 0.0569
0.2500 0.7513 0.5569
0.7500 0.2487 0.4431